No. 1
This record from the Alexandria database describes crystalline La2Ni2Ge2H at its relaxed geometry. The functional is PBE.

a b c (Å): 4.2967 5.9516 5.6761
angles (deg): 77.33 67.76 68.84
Element x y z (fractional)
Ni1 0.1959 0.7243 0.8839
H1 0.0000 0.0000 0.0000
La1 0.5479 0.1865 0.7177
La2 0.4521 0.8135 0.2823
Ni2 0.8041 0.2757 0.1161
Ge1 0.8363 0.6014 0.7261
Ge2 0.1637 0.3986 0.2739

Values from the calculation:
Energy = -38.65 eV/f.u.
Symmetry = C2/m, No. 12

---

No. 2
This record from the Alexandria database describes crystalline YFeCo3 at its relaxed geometry. The functional is PBE.

a b c (Å): 4.6933 8.1946 6.2338
angles (deg): 131.09 112.11 90.00
Element x y z (fractional)
Co1 0.2437 0.2437 0.9874
Co2 0.7437 0.2437 0.9874
Y1 0.2500 0.2918 0.5000
Fe1 0.0000 0.5000 0.0000
Co3 0.2500 0.9288 0.5000
Co4 0.7500 0.0712 0.5000
Co5 0.7563 0.7563 0.0126
Co6 0.2563 0.7563 0.0126
Y2 0.7500 0.7082 0.5000
Fe2 0.5000 0.0000 0.0000

Values from the calculation:
E above lowest polymorph = 0 meV/atom
Symmetry = Imma, No. 74

---

No. 3
This record from the Alexandria database describes crystalline PPbW2Se at its relaxed geometry. The functional is PBE.

a b c (Å): 4.7287 4.8605 4.7287
angles (deg): 90.00 90.00 90.00
Element x y z (fractional)
P1 0.0000 0.5000 0.0000
W1 0.0000 0.0000 0.5000
W2 0.5000 0.0000 0.0000
Se1 0.0000 0.0000 0.0000
Pb1 0.5000 0.5000 0.5000

Values from the calculation:
Energy = -30.17 eV/f.u.
Symmetry = P4/mmm, No. 123

---

No. 4
This record from the Alexandria database describes crystalline PuS2I2 at its relaxed geometry. The functional is PBE.

a b c (Å): 7.8161 7.4925 8.2248
angles (deg): 79.77 70.09 58.56
Element x y z (fractional)
I1 0.4230 0.6208 0.2363
Pu1 0.8527 0.2946 0.0000
I2 0.0438 0.3792 0.2363
S1 0.7280 0.0000 0.1150
S2 0.1094 0.0000 0.7370
S3 0.8906 0.0000 0.2630
Pu2 0.1473 0.7054 0.0000
I3 0.5770 0.3792 0.7637
S4 0.2720 0.0000 0.8850
I4 0.9562 0.6208 0.7637

Values from the calculation:
Energy = -30.12 eV/f.u.
Symmetry = C2/m, No. 12